Record 1
{"formula": "AgBPd3", "functional": "PBE", "state": "relaxed", "lattice_angstrom": [[4.929, 0.000, 0.000], [0.000, 4.929, 0.000], [0.000, 0.000, 4.929]], "species": ["Ag", "B", "Pd", "Pd", "Pd"], "frac_coords": [[0.000, 0.000, 0.000], [0.500, 0.500, 0.500], [0.000, 0.000, 0.500], [0.000, 0.500, 0.000], [0.500, 0.000, 0.000]], "vol_a3_per_atom": 23.95, "polymorph_energy_ev_per_atom": 2.1145, "space_group": "No. 221", "delta_e_f_ev_per_atom": 1.960, "e_tot_ev_per_atom": -3.062}



Record 2
{"formula": "Li3B8C8", "functional": "PBE", "state": "relaxed", "lattice_angstrom": [[12.082, -1.374, 0.000], [12.082, 1.374, 0.000], [-0.557, 0.000, 4.710]], "species": ["Li", "Li", "Li", "B", "B", "B", "B", "B", "B", "B", "B", "C", "C", "C", "C", "C", "C", "C", "C"], "frac_coords": [[0.000, 0.000, 0.000], [0.500, 0.500, 0.499], [0.857, 0.857, 0.901], [0.075, 0.075, 0.715], [0.205, 0.205, 0.470], [0.277, 0.277, 0.013], [0.427, 0.427, 0.786], [0.575, 0.575, 0.215], [0.706, 0.706, 0.971], [0.778, 0.778, 0.509], [0.925, 0.925, 0.289], [0.073, 0.073, 0.375], [0.209, 0.209, 0.804], [0.278, 0.278, 0.680], [0.425, 0.425, 0.121], [0.573, 0.573, 0.876], [0.708, 0.708, 0.304], [0.777, 0.777, 0.180], [0.928, 0.928, 0.623]], "vol_a3_per_atom": 8.23, "polymorph_energy_ev_per_atom": 0.0150, "space_group": "No. 8", "delta_e_f_ev_per_atom": 0.021, "e_tot_ev_per_atom": -6.976}



Record 3
{"formula": "Tl3Cu2PdCl6", "functional": "PBE", "state": "relaxed", "lattice_angstrom": [[7.459, 0.000, 0.000], [-3.730, 6.460, 0.000], [0.000, 0.000, 8.133]], "species": ["Tl", "Tl", "Tl", "Cu", "Cu", "Pd", "Cl", "Cl", "Cl", "Cl", "Cl", "Cl"], "frac_coords": [[0.000, 0.000, 0.000], [0.333, 0.667, 0.648], [0.667, 0.333, 0.352], [0.333, 0.667, 0.296], [0.667, 0.333, 0.704], [0.000, 0.000, 0.500], [0.162, 0.323, 0.297], [0.162, 0.838, 0.297], [0.323, 0.162, 0.703], [0.677, 0.838, 0.297], [0.838, 0.162, 0.703], [0.838, 0.677, 0.703]], "vol_a3_per_atom": 32.66, "formation_energy_uncorrected_ev_per_atom": -0.576, "space_group": "No. 164", "e_tot_ev_per_atom": -3.206}



Record 4
{"formula": "ZrGe2Os", "functional": "PBE", "state": "relaxed", "lattice_angstrom": [[-1.998, 1.998, 9.315], [1.998, -1.998, 9.315], [1.998, 1.998, -9.315]], "species": ["Zr", "Zr", "Ge", "Ge", "Ge", "Ge", "Os", "Os"], "frac_coords": [[0.000, 0.000, 0.000], [0.750, 0.250, 0.500], [0.166, 0.625, 0.041], [0.375, 0.416, 0.541], [0.584, 0.125, 0.959], [0.875, 0.834, 0.459], [0.250, 0.750, 0.500], [0.500, 0.500, 0.000]], "vol_a3_per_atom": 18.60, "space_group": "No. 122", "delta_e_f_ev_per_atom": 0.074, "e_tot_ev_per_atom": -7.179}



Record 5
{"formula": "PmAl3Au", "functional": "PBE", "state": "relaxed", "lattice_angstrom": [[-2.147, 2.147, 5.508], [2.147, -2.147, 5.508], [2.147, 2.147, -5.508]], "species": ["Pm", "Al", "Al", "Al", "Au"], "frac_coords": [[0.000, 0.000, 0.000], [0.262, 0.762, 0.500], [0.410, 0.410, 0.000], [0.762, 0.262, 0.500], [0.635, 0.635, 0.000]], "vol_a3_per_atom": 20.30, "polymorph_energy_ev_per_atom": 0.0000, "space_group": "No. 107", "delta_e_f_ev_per_atom": -0.626, "e_tot_ev_per_atom": -4.477}



Record 6
{"formula": "TbPm7Nd3", "functional": "PBE", "state": "relaxed", "lattice_angstrom": [[-2.986, 5.695, 5.712], [2.986, -5.695, 5.712], [2.986, 5.695, -5.712]], "species": ["Tb", "Pm", "Pm", "Pm", "Pm", "Pm", "Pm", "Pm", "Nd", "Nd", "Nd"], "frac_coords": [[0.000, 0.000, 0.000], [0.000, 0.500, 0.500], [0.097, 0.801, 0.296], [0.292, 0.292, 0.000], [0.495, 0.199, 0.296], [0.505, 0.801, 0.704], [0.708, 0.708, 0.000], [0.903, 0.199, 0.704], [0.290, 0.500, 0.790], [0.500, 0.000, 0.500], [0.710, 0.500, 0.210]], "vol_a3_per_atom": 35.32, "polymorph_energy_ev_per_atom": 0.1110, "space_group": "No. 71", "delta_e_f_ev_per_atom": 0.231, "e_tot_ev_per_atom": -4.513}



What did the fifth record say?
{"formula": "PmAl3Au", "functional": "PBE", "state": "relaxed", "lattice_angstrom": [[-2.147, 2.147, 5.508], [2.147, -2.147, 5.508], [2.147, 2.147, -5.508]], "species": ["Pm", "Al", "Al", "Al", "Au"], "frac_coords": [[0.000, 0.000, 0.000], [0.262, 0.762, 0.500], [0.410, 0.410, 0.000], [0.762, 0.262, 0.500], [0.635, 0.635, 0.000]], "vol_a3_per_atom": 20.30, "polymorph_energy_ev_per_atom": 0.0000, "space_group": "No. 107", "delta_e_f_ev_per_atom": -0.626, "e_tot_ev_per_atom": -4.477}